Record 1
Computed, not measured: a relaxed structure of Sc2CrInB at the PBE level of DFT.

abc: 4.608 4.608 4.308
angles: 90.00 90.00 90.00
Each line ends with the local moment (μB).
Atoms (fractional coordinates):
Sc (0.500, 0.000, 0.000)  -0.01
Sc (0.000, 0.500, 0.000)  -0.01
In (0.000, 0.000, 0.500)  0.00
Cr (0.500, 0.500, 0.500)  -0.06
B (0.000, 0.000, 0.000)  -0.01

Computed properties:
- ΔE_f: 0.4949 eV/atom
- DOS(E_F): 7.420 states/eV per cell
- Theoretical density: 4.86 g cm⁻³
- Crystal system: tetragonal



Record 2
Computed, not measured: a relaxed structure of BaYAg2 at the PBE level of DFT.

abc: 5.483 5.483 5.483
angles: 60.00 60.00 60.00
Atoms (fractional coordinates):
Y (0.000, 0.000, 0.000)
Ag (0.750, 0.750, 0.750)
Ag (0.250, 0.250, 0.250)
Ba (0.500, 0.500, 0.500)

Computed properties:
- Excess energy over the best structure of this formula in the dataset: 137.2 meV/atom
- ΔE_f: -0.1117 eV/atom
- DOS(E_F): 4.159 states/eV per cell
- Theoretical density: 6.30 g cm⁻³
- Crystal system: cubic



Record 3
Computed, not measured: a relaxed structure of SmDy7Hg4 at the PBE level of DFT.

abc: 5.691 8.971 7.851
angles: 70.49 68.75 71.51
Atoms (fractional coordinates):
Dy (0.500, 0.000, 0.000)
Dy (0.792, 0.884, 0.531)
Dy (0.208, 0.116, 0.469)
Dy (0.066, 0.594, 0.273)
Dy (0.934, 0.406, 0.727)
Dy (0.731, 0.317, 0.221)
Dy (0.269, 0.683, 0.779)
Hg (0.546, 0.274, 0.633)
Hg (0.454, 0.726, 0.367)
Hg (0.311, 0.339, 0.039)
Hg (0.689, 0.661, 0.961)
Sm (0.000, 0.000, 0.000)

Computed properties:
- ΔE_f: -0.1063 eV/atom
- DOS(E_F): 13.010 states/eV per cell
- Theoretical density: 10.11 g cm⁻³
- Crystal system: monoclinic



Record 4
Computed, not measured: a relaxed structure of TcIrS2Cl at the PBE level of DFT.

abc: 4.689 4.689 4.735
angles: 90.00 90.00 90.00
Each line ends with the local moment (μB).
Atoms (fractional coordinates):
S (0.000, 0.500, 0.000)  -0.04
S (0.500, 0.000, 0.000)  -0.04
Tc (0.500, 0.500, 0.500)  3.89
Cl (0.000, 0.000, 0.500)  0.07
Ir (0.000, 0.000, 0.000)  -0.20

Computed properties:
- Excess energy over the best structure of this formula in the dataset: 0.0 meV/atom
- DOS(E_F): 3.206 states/eV per cell
- Theoretical density: 6.22 g cm⁻³
- Crystal system: tetragonal
- ΔE_f (raw): 0.8829 eV per atom